Record 1
A plane-wave DFT calculation with PBEsol was carried out for a relaxed structure of Co2RePb.

Geometry as POSCAR:
```
Co2RePb
1.0
3.772 0.000 0.000
0.000 3.772 0.000
0.000 0.000 7.882
Co Re Pb
4 2 2
Direct
0.000 0.000 0.000 Co
0.000 0.500 0.250 Co
0.500 0.000 0.750 Co
0.500 0.500 0.500 Co
0.000 0.500 0.750 Re
0.500 0.000 0.250 Re
0.000 0.000 0.500 Pb
0.500 0.500 0.000 Pb
```

**Total moment**: 1.25 Bohr magnetons per cell
**Formation energy from the elements**: 2.79 eV per formula unit
**Symmetry**: I-4m2 (119)


Record 2
A plane-wave DFT calculation with PBEsol was carried out for a relaxed structure of Zr2CoRePb.

Geometry as POSCAR:
```
Zr2CoRePb
1.0
5.019 0.000 0.000
0.000 5.019 0.000
0.000 0.000 4.429
Zr Co Re Pb
2 1 1 1
Direct
0.000 0.500 0.000 Zr
0.500 0.000 0.000 Zr
0.000 0.000 0.500 Co
0.000 0.000 0.000 Re
0.500 0.500 0.500 Pb
```

**Total moment**: 0.00 Bohr magnetons per cell
**Formation energy from the elements**: 3.34 eV per formula unit
**Symmetry**: P4/mmm (123)


Record 3
A plane-wave DFT calculation with PBEsol was carried out for a relaxed structure of Co2RhPb.

Geometry as POSCAR:
```
Co2RhPb
1.0
8.633 0.000 0.000
0.000 2.930 0.000
-0.978 0.000 4.607
Co Rh Pb
4 2 2
Direct
0.243 0.000 0.202 Co
0.257 0.500 0.798 Co
0.743 0.500 0.202 Co
0.757 0.000 0.798 Co
0.000 0.500 0.000 Rh
0.500 0.000 0.000 Rh
0.000 0.000 0.500 Pb
0.500 0.500 0.500 Pb
```

**Total moment**: 6.07 Bohr magnetons per cell
**Formation energy from the elements**: 1.61 eV per formula unit
**Symmetry**: C2/m (12)